No. 1
## SmY2Sc (PBE-GGA)

Data for an optimized crystal structure of SmY2Sc.

```
SmY2Sc
1.0
-2.2418 4.0881 -1.8172
-4.3777 -2.2734 0.2860
-0.5919 1.7179 4.5949
Y Sc Sm
2 1 1
direct
0.0000 0.0000 0.5000
0.0000 0.5000 0.0000
0.5000 0.0000 0.0000
0.5000 0.5000 0.5000
```

Calculated values
V = 30.54 Å³ per atom
Distance to the lowest polymorph of the same formula = 0.020 eV per atom
Formation energy from the elements = 5 kJ per mole of atoms
Space group = P4/mmm, No. 123



No. 2
## CdHg2As2 (PBE-GGA)

Data for an optimized crystal structure of CdHg2As2.

```
CdHg2As2
1.0
7.7725 0.0000 0.0000
0.0000 7.7725 0.0000
0.0000 0.0000 4.2678
As Hg Cd
4 4 2
direct
0.1091 0.6091 0.5000
0.6091 0.8909 0.5000
0.8909 0.3909 0.5000
0.3909 0.1091 0.5000
0.3307 0.8307 0.0000
0.8307 0.6693 0.0000
0.6693 0.1693 0.0000
0.1693 0.3307 0.0000
0.0000 0.0000 0.0000
0.5000 0.5000 0.0000
```

Calculated values
V = 25.78 Å³ per atom
Distance to the lowest polymorph of the same formula = 0.224 eV per atom
Formation energy from the elements = 30 kJ per mole of atoms
Space group = P4/mbm, No. 127



No. 3
## PaSe2ClO6 (PBE-GGA)

Data for an optimized crystal structure of PaSe2ClO6.

```
PaSe2ClO6
1.0
6.9971 0.5559 0.6059
-0.3049 7.0125 0.6059
-1.3007 -1.4710 6.8484
Pa Se Cl O
2 4 2 12
direct
0.5399 0.4601 0.2500
0.4601 0.5399 0.7500
0.3280 0.0853 0.8122
0.9147 0.6720 0.6878
0.6720 0.9147 0.1878
0.0853 0.3280 0.3122
0.0319 0.9681 0.2500
0.9681 0.0319 0.7500
0.8798 0.4181 0.2090
0.5819 0.1202 0.2910
0.1202 0.5819 0.7910
0.4181 0.8798 0.7090
0.2334 0.3152 0.1403
0.6848 0.7665 0.3597
0.7665 0.6848 0.8597
0.3152 0.2334 0.6403
0.3273 0.5453 0.4506
0.4547 0.6727 0.0494
0.6727 0.4547 0.5494
0.5453 0.3273 0.9506
```

Calculated values
V = 17.44 Å³ per atom
Raw formation energy = -1.5816 eV/atom
Space group = C2/c, No. 15



No. 4
## ZnWBr2 (PBE-GGA)

Data for an optimized crystal structure of ZnWBr2.

```
ZnWBr2
1.0
3.1605 0.0000 0.0000
0.0000 3.1604 0.0000
0.0000 0.0000 9.2308
Br W Zn
2 1 1
direct
0.0000 0.0000 0.0760
0.0000 0.0000 0.4240
0.5000 0.5000 0.2500
0.5000 0.5000 0.7500
```

Calculated values
V = 23.05 Å³ per atom
Distance to the lowest polymorph of the same formula = 0.565 eV per atom
Raw formation energy = 0.7132 eV/atom
Space group = P4/mmm, No. 123



No. 5
## InReMo4 (PBE-GGA)

Data for an optimized crystal structure of InReMo4.

```
InReMo4
1.0
2.8921 -1.9489 3.8972
0.9803 2.9072 4.2354
-2.2397 -1.2001 4.5710
In Re Mo
1 1 4
direct
0.0000 0.0000 0.0000
0.7500 0.7500 0.7500
0.8774 0.3742 0.3742
0.3742 0.3742 0.8774
0.3742 0.8774 0.3742
0.3742 0.3742 0.3742
```

Calculated values
V = 16.86 Å³ per atom
Formation energy from the elements = 38 kJ per mole of atoms
Space group = F-43m, No. 216



No. 6
## KPdBr (PBE-GGA)

Data for an optimized crystal structure of KPdBr.

```
KPdBr
1.0
-0.8216 -3.7197 3.8088
-2.6065 -3.0793 -3.5696
5.2886 -2.7198 -1.5155
K Br Pd
2 2 2
direct
0.0000 0.5000 0.1488
0.5000 0.0000 0.8512
0.0000 0.0000 0.5000
0.5000 0.5000 0.5000
0.0000 0.5000 0.6373
0.5000 0.0000 0.3627
```

Calculated values
V = 29.68 Å³ per atom
Distance to the lowest polymorph of the same formula = 0.385 eV per atom
Raw formation energy = -0.3262 eV/atom
Space group = P4/nmm, No. 129